Material: NaPSe3
Method: DFT, PBE
State: relaxed

Values from the calculation:
**Symmetry**: R-3, No. 148
**Raw formation energy**: -0.2026 eV per atom
**Final energy**: -3.639 eV per atom
**ΔE to the lowest computed polymorph**: 225.1 meV per atom

abc: 7.8858 7.8858 7.8858
angles: 47.10 47.10 47.10
Sites, in units of the cell vectors:
Na (0.1497, 0.1497, 0.1497)
Na (0.8503, 0.8503, 0.8503)
P (0.3345, 0.3345, 0.3345)
P (0.6655, 0.6655, 0.6655)
Se (0.0605, 0.6962, 0.4468)
Se (0.3038, 0.5532, 0.9395)
Se (0.4468, 0.0605, 0.6962)
Se (0.5532, 0.9395, 0.3038)
Se (0.6962, 0.4468, 0.0605)
Se (0.9395, 0.3038, 0.5532)

***

Material: NaP2Se
Method: DFT, PBE
State: relaxed

Values from the calculation:
**Symmetry**: I-42d, No. 122
**Raw formation energy**: 0.3522 eV per atom
**Final energy**: -3.554 eV per atom

abc: 6.4180 6.4180 6.4180
angles: 114.55 114.55 99.72
Sites, in units of the cell vectors:
Na (0.0000, 0.0000, 0.0000)
Na (0.7500, 0.2500, 0.5000)
P (0.1871, 0.6250, 0.0621)
P (0.3750, 0.4371, 0.5621)
P (0.5629, 0.1250, 0.9379)
P (0.8750, 0.8129, 0.4379)
Se (0.2500, 0.7500, 0.5000)
Se (0.5000, 0.5000, 0.0000)

***

Material: Na2PSe
Method: DFT, PBE
State: relaxed

Values from the calculation:
**Symmetry**: I-42d, No. 122
**Raw formation energy**: -0.1834 eV per atom
**Final energy**: -3.066 eV per atom
**ΔE to the lowest computed polymorph**: 0.0 meV per atom

abc: 6.2988 6.2988 6.2988
angles: 100.65 100.65 129.09
Sites, in units of the cell vectors:
Na (0.1224, 0.6250, 0.9974)
Na (0.3750, 0.3724, 0.4974)
Na (0.6276, 0.1250, 0.0026)
Na (0.8750, 0.8776, 0.5026)
P (0.0000, 0.0000, 0.0000)
P (0.7500, 0.2500, 0.5000)
Se (0.2500, 0.7500, 0.5000)
Se (0.5000, 0.5000, 0.0000)

***

Material: Na3P5Se12
Method: DFT, PBE
State: relaxed

Values from the calculation:
**Symmetry**: Ia-3d, No. 230
**Raw formation energy**: -0.1854 eV per atom
**Final energy**: -3.826 eV per atom

abc: 13.6638 13.6638 13.6638
angles: 109.47 109.47 109.47
Sites, in units of the cell vectors:
Na (0.1250, 0.2500, 0.3750)
Na (0.1250, 0.3750, 0.7500)
Na (0.2500, 0.3750, 0.1250)
Na (0.2500, 0.8750, 0.6250)
Na (0.3750, 0.1250, 0.2500)
Na (0.3750, 0.7500, 0.1250)
Na (0.6250, 0.2500, 0.8750)
Na (0.6250, 0.8750, 0.7500)
Na (0.7500, 0.1250, 0.3750)
Na (0.7500, 0.6250, 0.8750)
Na (0.8750, 0.6250, 0.2500)
Na (0.8750, 0.7500, 0.6250)
P (0.0000, 0.0000, 0.0000)
P (0.0000, 0.0000, 0.5000)
P (0.0000, 0.5000, 0.0000)
P (0.0000, 0.5000, 0.5000)
P (0.1250, 0.7500, 0.8750)
P (0.1250, 0.8750, 0.2500)
P (0.2500, 0.1250, 0.8750)
P (0.2500, 0.6250, 0.3750)
P (0.3750, 0.2500, 0.6250)
P (0.3750, 0.6250, 0.7500)
P (0.5000, 0.0000, 0.0000)
P (0.5000, 0.0000, 0.5000)
P (0.5000, 0.5000, 0.0000)
P (0.5000, 0.5000, 0.5000)
P (0.6250, 0.3750, 0.2500)
P (0.6250, 0.7500, 0.3750)
P (0.7500, 0.3750, 0.6250)
P (0.7500, 0.8750, 0.1250)
P (0.8750, 0.1250, 0.7500)
P (0.8750, 0.2500, 0.1250)
Se (0.0206, 0.2048, 0.1188)
Se (0.0206, 0.3158, 0.9018)
Se (0.0860, 0.7048, 0.6842)
Se (0.0860, 0.8812, 0.4018)
Se (0.0982, 0.6188, 0.4140)
Se (0.0982, 0.9794, 0.6842)
Se (0.1188, 0.0206, 0.2048)
Se (0.1188, 0.5982, 0.9140)
Se (0.1842, 0.2048, 0.5860)
Se (0.1842, 0.4794, 0.5982)
Se (0.2048, 0.1188, 0.0206)
Se (0.2048, 0.5860, 0.1842)
Se (0.2952, 0.3158, 0.9140)
Se (0.2952, 0.4794, 0.3812)
Se (0.3158, 0.9018, 0.0206)
Se (0.3158, 0.9140, 0.2952)
Se (0.3812, 0.2952, 0.4794)
Se (0.3812, 0.5860, 0.9018)
Se (0.4018, 0.0860, 0.8812)
Se (0.4018, 0.8158, 0.5206)
Se (0.4140, 0.0982, 0.6188)
Se (0.4140, 0.8158, 0.7952)
Se (0.4794, 0.3812, 0.2952)
Se (0.4794, 0.5982, 0.1842)
Se (0.5206, 0.4018, 0.8158)
Se (0.5206, 0.6188, 0.7048)
Se (0.5860, 0.1842, 0.2048)
Se (0.5860, 0.9018, 0.3812)
Se (0.5982, 0.1842, 0.4794)
Se (0.5982, 0.9140, 0.1188)
Se (0.6188, 0.4140, 0.0982)
Se (0.6188, 0.7048, 0.5206)
Se (0.6842, 0.0860, 0.7048)
Se (0.6842, 0.0982, 0.9794)
Se (0.7048, 0.5206, 0.6188)
Se (0.7048, 0.6842, 0.0860)
Se (0.7952, 0.4140, 0.8158)
Se (0.7952, 0.8812, 0.9794)
Se (0.8158, 0.5206, 0.4018)
Se (0.8158, 0.7952, 0.4140)
Se (0.8812, 0.4018, 0.0860)
Se (0.8812, 0.9794, 0.7952)
Se (0.9018, 0.0206, 0.3158)
Se (0.9018, 0.3812, 0.5860)
Se (0.9140, 0.1188, 0.5982)
Se (0.9140, 0.2952, 0.3158)
Se (0.9794, 0.6842, 0.0982)
Se (0.9794, 0.7952, 0.8812)

***

Material: NaPSe4
Method: DFT, PBE
State: relaxed

Values from the calculation:
**Symmetry**: C2/c, No. 15
**Raw formation energy**: -0.1280 eV per atom
**Final energy**: -3.573 eV per atom
**ΔE to the lowest computed polymorph**: 173.8 meV per atom

abc: 7.7990 7.7990 5.9228
angles: 107.31 107.31 61.64
Sites, in units of the cell vectors:
Na (0.1306, 0.8694, 0.7500)
Na (0.8694, 0.1306, 0.2500)
P (0.0000, 0.5000, 0.0000)
P (0.5000, 0.0000, 0.5000)
Se (0.1781, 0.2105, 0.6786)
Se (0.2105, 0.1781, 0.1786)
Se (0.3099, 0.5643, 0.0526)
Se (0.4357, 0.6901, 0.4474)
Se (0.5643, 0.3099, 0.5526)
Se (0.6901, 0.4357, 0.9474)
Se (0.7895, 0.8219, 0.8214)
Se (0.8219, 0.7895, 0.3214)

***

Material: NaTaP2Se8
Method: DFT, PBE
State: relaxed

Values from the calculation:
**Symmetry**: R-3, No. 148
**Raw formation energy**: -0.2728 eV per atom
**Final energy**: -4.595 eV per atom

abc: 9.9916 9.9916 9.9916
angles: 37.12 37.12 37.12
Sites, in units of the cell vectors:
Na (0.0000, 0.0000, 0.0000)
Ta (0.5000, 0.5000, 0.5000)
P (0.2434, 0.2434, 0.2434)
P (0.7566, 0.7566, 0.7566)
Se (0.1227, 0.4315, 0.7891)
Se (0.2109, 0.8773, 0.5685)
Se (0.3200, 0.3200, 0.3200)
Se (0.4315, 0.7891, 0.1227)
Se (0.5685, 0.2109, 0.8773)
Se (0.6800, 0.6800, 0.6800)
Se (0.7891, 0.1227, 0.4315)
Se (0.8773, 0.5685, 0.2109)

***

> The highest final energy belongs to which entry?

Na2PSe

***

> Number 3 is which compound?

Na2PSe

***

> Which formula does entry 3 have?

Na2PSe

***

> What is the formula in the sixth record?

NaTaP2Se8